RbLi2Tl: relaxed, PBE.

It has space group Fm-3m (No. 225), with a = 7.890 Å, b = 7.890 Å, c = 7.890 Å, α = 90.00°, β = 90.00° and γ = 90.00°. The inequivalent atoms are Rb at (0.000, 0.000, 0.000), Li at (0.250, 0.250, 0.250) and Tl at (0.000, 0.000, 0.500).

The value obtained for the energy relative to the elements is 0.36 eV per formula unit. The calculation puts the energy relative to the lowest polymorph listed for this composition at 146 meV per atom. Its mass density is 4.1 g/cm3. For the total energy, the calculation gives -1.701 eV/atom.

ZrFeP: relaxed, PBE.

It has space group Cmme (No. 67), with a = 6.788 Å, b = 7.257 Å, c = 4.464 Å, α = 90.00°, β = 90.00° and γ = 90.00°. The inequivalent atoms are Zr at (0.250, 0.000, 0.000), Fe at (0.000, 0.000, 0.500) and P at (0.000, 0.250, 0.208).

The value obtained for the energy relative to the elements is -0.96 eV per formula unit. Its mass density is 5.4 g/cm3. For the total energy, the calculation gives -7.793 eV/atom.

BaCd2Se: relaxed, PBE.

It has space group R-3m (No. 166, hexagonal axes), with a = 4.9173 Å, b = 4.9173 Å, c = 18.8475 Å, α = 90.00°, β = 90.00° and γ = 120.00°. The inequivalent atoms are Ba at (0.0000, 0.0000, 0.0000), Cd at (0.0000, 0.0000, 0.2263) and Se at (0.0000, 0.0000, 0.5000).

Its mass density is 5.6 g/cm3. For the total energy, the calculation gives -2.260 eV/atom. Its uncorrected formation energy is -0.45 eV per atom.